VASP calculation (GGA-PBE) on a geometry-optimized Rb2Ag3Br5 structure.

Summary:
energy relative to the elements, uncorrected = -895 meV per atom
calculated total energy = -0.2043 Ry per atom

a = 15.624 Å, b = 4.491 Å, c = 9.835 Å
α = 90.00°, β = 111.96°, γ = 90.00°
Space group C2/m (No. 12)
One atom of each set of equivalent atoms:
1 Rb 0.169 0.000 0.205 [4 per cell]
2 Ag 0.000 0.000 0.500 [2 per cell]
3 Ag 0.058 0.500 0.759 [4 per cell]
4 Br 0.000 0.500 0.000 [2 per cell]
5 Br 0.113 0.500 0.454 [4 per cell]
6 Br 0.164 0.000 0.822 [4 per cell]